VASP calculation (PBE-GGA) on a geometry-optimized Na3ZnB structure.

The formation energy from the elements comes out at 0.774 eV/atom. The energy above the most stable polymorph in this dataset is 0.000 eV/atom.

The structure belongs to space group Pm-3m (No. 221); the cell edges are 5.160, 5.160 and 5.160 Å and the angles 90.00°, 90.00° and 90.00°. The asymmetric unit holds Na at (0.000, 0.000, 0.500), Zn at (0.500, 0.500, 0.500) and B at (0.000, 0.000, 0.000).


VASP calculation (PBE-GGA) on a geometry-optimized Ba2LiGe3 structure.

The formation energy from the elements comes out at -0.563 eV/atom.

The structure belongs to space group Fmmm (No. 69); the cell edges are 8.997, 9.871 and 15.449 Å and the angles 90.00°, 90.00° and 90.00°. The asymmetric unit holds Ba at (0.000, 0.242, 0.000), Ba at (0.250, 0.250, 0.250), Li at (0.000, 0.000, 0.334), Ge at (0.000, 0.000, 0.164) and Ge at (0.248, 0.000, 0.082).


VASP calculation (PBE-GGA) on a geometry-optimized SrFeMoOs2 structure.

The formation energy from the elements comes out at 1.233 eV/atom.

The structure belongs to space group P4/mmm (No. 123); the cell edges are 4.802, 4.802 and 4.699 Å and the angles 90.00°, 90.00° and 90.00°. The asymmetric unit holds Sr at (0.000, 0.000, 0.000), Fe at (0.500, 0.500, 0.000), Mo at (0.500, 0.500, 0.500) and Os at (0.000, 0.500, 0.500).


Question: Which of these has the lowest formation energy from the elements?
Answer: Ba2LiGe3